# GGA-PBE LaCeCu4, relaxed
data_LaCeCu4
_symmetry_space_group_name_H-M 'I -4 m 2'
_symmetry_Int_Tables_number 119
_symmetry_space_group_name_Hall 'I -4 -2'
_cell_length_a 3.967
_cell_length_b 3.967
_cell_length_c 15.635
_cell_angle_alpha 90.00
_cell_angle_beta 90.00
_cell_angle_gamma 90.00
loop_
_atom_site_label
_atom_site_fract_x
_atom_site_fract_y
_atom_site_fract_z
La1 0.000 0.000 0.000
Ce1 0.000 0.500 0.250
Cu1 0.000 0.000 0.419
Cu2 0.000 0.500 0.671
# Energy above the most stable polymorph in this dataset in meV/atom: 0
# Calculated total energy in eV/atom: -4.68